# Ti2CdAuF

Crystalline Ti2CdAuF at its relaxed geometry (PBE, the Alexandria database).

a b c (Å): 5.238 5.238 5.023
angles (deg): 90.00 90.00 90.00
Fractional coordinates of all 5 atoms:
Ti 0.000 0.500 0.000
Ti 0.500 0.000 0.000
Cd 0.000 0.000 0.000
Au 0.000 0.000 0.500
F 0.500 0.500 0.500

* V: 27.57 Å³ per atom
* electronic total energy: -3.560 eV per atom
* raw formation energy: 0.811 eV per atom
* density of states at the Fermi level: 6.7 states/eV per cell